(1)
Li2ThHg9 | GGA-PBE | relaxed

Its formation energy from the elements is -0.1831 eV/atom.

```
data_Li2ThHg9
_cell_length_a 4.652
_cell_length_b 4.652
_cell_length_c 13.144
_cell_angle_alpha 90.00
_cell_angle_beta 90.00
_cell_angle_gamma 90.00
_symmetry_space_group_name_H-M 'P 4/m m m'
_symmetry_Int_Tables_number 123
_symmetry_space_group_name_Hall '-P 4 2'
loop_
_atom_site_label
_atom_site_type_symbol
_atom_site_fract_x
_atom_site_fract_y
_atom_site_fract_z
Li1 Li 0.000 0.000 0.156
Th1 Th 0.000 0.000 0.500
Hg1 Hg 0.000 0.500 0.000
Hg2 Hg 0.000 0.500 0.320
Hg3 Hg 0.500 0.500 0.160
Hg4 Hg 0.500 0.500 0.500
```

---

(2)
LiTh4Hg5 | GGA-PBE | relaxed

Its formation energy from the elements is -0.2504 eV/atom.

```
data_LiTh4Hg5
_cell_length_a 3.462
_cell_length_b 3.462
_cell_length_c 21.350
_cell_angle_alpha 90.00
_cell_angle_beta 90.00
_cell_angle_gamma 90.00
_symmetry_space_group_name_H-M 'P 4/m m m'
_symmetry_Int_Tables_number 123
_symmetry_space_group_name_Hall '-P 4 2'
loop_
_atom_site_label
_atom_site_type_symbol
_atom_site_fract_x
_atom_site_fract_y
_atom_site_fract_z
Li1 Li 0.000 0.000 0.000
Th1 Th 0.000 0.000 0.179
Th2 Th 0.000 0.000 0.393
Hg1 Hg 0.500 0.500 0.073
Hg2 Hg 0.500 0.500 0.286
Hg3 Hg 0.500 0.500 0.500
```

---

(3)
Li2Th3Hg4 | GGA-PBE | relaxed

Its formation energy from the elements is -0.2376 eV/atom.

```
data_Li2Th3Hg4
_cell_length_a 10.924
_cell_length_b 5.005
_cell_length_c 9.320
_cell_angle_alpha 90.00
_cell_angle_beta 120.66
_cell_angle_gamma 90.00
_symmetry_space_group_name_H-M 'C 1 2/m 1'
_symmetry_Int_Tables_number 12
_symmetry_space_group_name_Hall '-C 2y'
loop_
_atom_site_label
_atom_site_type_symbol
_atom_site_fract_x
_atom_site_fract_y
_atom_site_fract_z
Li1 Li 0.122 0.000 0.290
Th1 Th 0.000 0.500 0.000
Th2 Th 0.159 0.000 0.667
Hg1 Hg 0.063 0.500 0.384
Hg2 Hg 0.218 0.000 0.068
```

---

(4)
Li2Th3Hg6 | GGA-PBE | relaxed

Its formation energy from the elements is -0.1422 eV/atom.

```
data_Li2Th3Hg6
_cell_length_a 4.603
_cell_length_b 4.603
_cell_length_c 25.606
_cell_angle_alpha 90.00
_cell_angle_beta 90.00
_cell_angle_gamma 90.00
_symmetry_space_group_name_H-M 'I 4/m m m'
_symmetry_Int_Tables_number 139
_symmetry_space_group_name_Hall '-I 4 2'
loop_
_atom_site_label
_atom_site_type_symbol
_atom_site_fract_x
_atom_site_fract_y
_atom_site_fract_z
Li1 Li 0.000 0.000 0.050
Th1 Th 0.000 0.000 0.302
Th2 Th 0.000 0.000 0.500
Hg1 Hg 0.000 0.000 0.180
Hg2 Hg 0.000 0.500 0.097
```

---

(5)
Li3ThHg4 | GGA-PBE | relaxed

Its formation energy from the elements is -0.2971 eV/atom.

```
data_Li3ThHg4
_cell_length_a 4.7650
_cell_length_b 4.7650
_cell_length_c 26.1942
_cell_angle_alpha 90.00
_cell_angle_beta 90.00
_cell_angle_gamma 120.00
_symmetry_space_group_name_H-M 'R -3 m'
_symmetry_Int_Tables_number 166
_symmetry_space_group_name_Hall '-R 3 2"'
loop_
_atom_site_label
_atom_site_type_symbol
_atom_site_fract_x
_atom_site_fract_y
_atom_site_fract_z
Li1 Li 0.0000 0.0000 0.0000
Li2 Li 0.0000 0.0000 0.2620
Th1 Th 0.0000 0.0000 0.5000
Hg1 Hg 0.0000 0.0000 0.1074
Hg2 Hg 0.0000 0.0000 0.3730
```

---

(6)
Li2ThHg | GGA-PBE | relaxed

The energy relative to the lowest polymorph listed for this composition comes out at 123.1 meV/atom. Its formation energy from the elements is 0.0779 eV/atom.

```
data_Li2ThHg
_cell_length_a 3.2822
_cell_length_b 3.2822
_cell_length_c 32.1834
_cell_angle_alpha 90.00
_cell_angle_beta 90.00
_cell_angle_gamma 120.00
_symmetry_space_group_name_H-M 'R -3 m'
_symmetry_Int_Tables_number 166
_symmetry_space_group_name_Hall '-R 3 2"'
loop_
_atom_site_label
_atom_site_type_symbol
_atom_site_fract_x
_atom_site_fract_y
_atom_site_fract_z
Li1 Li 0.0000 0.0000 0.0992
Th1 Th 0.0000 0.0000 0.0000
Hg1 Hg 0.0000 0.0000 0.5000
```

---

(7)
Li2ThHg3 | GGA-PBE | relaxed

The energy relative to the lowest polymorph listed for this composition comes out at 27.4 meV/atom. Its formation energy from the elements is -0.2745 eV/atom.

```
data_Li2ThHg3
_cell_length_a 4.7271
_cell_length_b 4.7271
_cell_length_c 13.7769
_cell_angle_alpha 90.00
_cell_angle_beta 90.00
_cell_angle_gamma 120.00
_symmetry_space_group_name_H-M 'P 63/m m c'
_symmetry_Int_Tables_number 194
_symmetry_space_group_name_Hall '-P 6c 2c'
loop_
_atom_site_label
_atom_site_type_symbol
_atom_site_fract_x
_atom_site_fract_y
_atom_site_fract_z
Li1 Li 0.3333 0.6667 0.0700
Th1 Th 0.0000 0.0000 0.2500
Hg1 Hg 0.0000 0.0000 0.0000
Hg2 Hg 0.3333 0.6667 0.6303
```

---

(8)
Li2ThZnHg4 | GGA-PBE | relaxed

Its formation energy from the elements is -0.2236 eV/atom.

```
data_Li2ThZnHg4
_cell_length_a 4.6583
_cell_length_b 4.6583
_cell_length_c 27.5345
_cell_angle_alpha 90.00
_cell_angle_beta 90.00
_cell_angle_gamma 120.00
_symmetry_space_group_name_H-M 'R -3 m'
_symmetry_Int_Tables_number 166
_symmetry_space_group_name_Hall '-R 3 2"'
loop_
_atom_site_label
_atom_site_type_symbol
_atom_site_fract_x
_atom_site_fract_y
_atom_site_fract_z
Li1 Li 0.0000 0.0000 0.2326
Th1 Th 0.0000 0.0000 0.0000
Zn1 Zn 0.0000 0.0000 0.5000
Hg1 Hg 0.0000 0.0000 0.1240
Hg2 Hg 0.0000 0.0000 0.3942
```

---

(9)
LiTh3Zn6Hg2 | GGA-PBE | relaxed

Its formation energy from the elements is -0.0991 eV/atom.

```
data_LiTh3Zn6Hg2
_cell_length_a 5.9631
_cell_length_b 5.9631
_cell_length_c 8.6090
_cell_angle_alpha 90.00
_cell_angle_beta 90.00
_cell_angle_gamma 120.00
_symmetry_space_group_name_H-M 'P -3 m 1'
_symmetry_Int_Tables_number 164
_symmetry_space_group_name_Hall '-P 3 2"'
loop_
_atom_site_label
_atom_site_type_symbol
_atom_site_fract_x
_atom_site_fract_y
_atom_site_fract_z
Li1 Li 0.0000 0.0000 0.0000
Th1 Th 0.0000 0.0000 0.5000
Th2 Th 0.3333 0.6667 0.1100
Zn1 Zn 0.1796 0.3593 0.7879
Hg1 Hg 0.3333 0.6667 0.4906
```

---

(10)
LiThZnHg | GGA-PBE | relaxed

Its formation energy from the elements is -0.2006 eV/atom.

```
data_LiThZnHg
_cell_length_a 7.151
_cell_length_b 7.151
_cell_length_c 7.151
_cell_angle_alpha 90.00
_cell_angle_beta 90.00
_cell_angle_gamma 90.00
_symmetry_space_group_name_H-M 'F -4 3 m'
_symmetry_Int_Tables_number 216
_symmetry_space_group_name_Hall 'F -4 2 3'
loop_
_atom_site_label
_atom_site_type_symbol
_atom_site_fract_x
_atom_site_fract_y
_atom_site_fract_z
Li1 Li 0.000 0.000 0.000
Th1 Th 0.000 0.000 0.500
Zn1 Zn 0.250 0.250 0.250
Hg1 Hg 0.250 0.250 0.750
```

---

(11)
LiTiHg | GGA-PBE | relaxed

Its formation energy from the elements is 0.0026 eV/atom.

```
data_LiTiHg
_cell_length_a 4.576
_cell_length_b 4.600
_cell_length_c 10.329
_cell_angle_alpha 90.00
_cell_angle_beta 90.08
_cell_angle_gamma 90.00
_symmetry_space_group_name_H-M 'C 1 2/m 1'
_symmetry_Int_Tables_number 12
_symmetry_space_group_name_Hall '-C 2y'
loop_
_atom_site_label
_atom_site_type_symbol
_atom_site_fract_x
_atom_site_fract_y
_atom_site_fract_z
Li1 Li 0.250 0.000 0.243
Ti1 Ti 0.250 0.000 0.576
Hg1 Hg 0.250 0.000 0.891
```

---

(12)
Li5TiHg6 | GGA-PBE | relaxed

Its formation energy from the elements is -0.2825 eV/atom.

```
data_Li5TiHg6
_cell_length_a 4.711
_cell_length_b 13.980
_cell_length_c 6.713
_cell_angle_alpha 90.00
_cell_angle_beta 90.00
_cell_angle_gamma 90.00
_symmetry_space_group_name_H-M 'C m m m'
_symmetry_Int_Tables_number 65
_symmetry_space_group_name_Hall '-C 2 2'
loop_
_atom_site_label
_atom_site_type_symbol
_atom_site_fract_x
_atom_site_fract_y
_atom_site_fract_z
Li1 Li 0.000 0.000 0.000
Li2 Li 0.000 0.331 0.500
Li3 Li 0.000 0.334 0.000
Ti1 Ti 0.000 0.000 0.500
Hg1 Hg 0.000 0.165 0.246
Hg2 Hg 0.000 0.500 0.254
```